No. 1
VASP calculation (GGA-PBE) on a geometry-optimized KCr2P structure.

Lattice parameters (Å, degrees): 4.3673 4.3673 4.1297 90.00 90.00 90.00
Positions (direct):
1 K 0.0000 0.0000 0.0000
2 Cr 0.0000 0.5000 0.5000
3 Cr 0.5000 0.0000 0.5000
4 P 0.5000 0.5000 0.0000

Values from the calculation:
formation energy from the elements: 952 meV/atom
N(E_F): 0.737 states/eV/atom

---

No. 2
VASP calculation (GGA-PBE) on a geometry-optimized NbFeB2 structure.

Lattice parameters (Å, degrees): 4.4637 4.4637 4.4637 44.55 44.55 44.55
Positions (direct):
1 Nb 0.0000 0.0000 0.0000
2 Fe 0.5000 0.5000 0.5000
3 B 0.2089 0.2089 0.2089
4 B 0.7911 0.7911 0.7911

Values from the calculation:
formation energy from the elements: -375 meV/atom
N(E_F): 0.740 states/eV/atom

---

No. 3
VASP calculation (GGA-PBE) on a geometry-optimized La3Dy6Ho2Tm structure.

Lattice parameters (Å, degrees): 6.2157 6.2157 11.8706 95.01 95.01 120.02
Positions (direct):
1 La 0.0000 0.0000 0.0000
2 La 0.3332 0.6668 0.0000
3 La 0.6668 0.3332 0.0000
4 Dy 0.0862 0.4192 0.2566
5 Dy 0.2477 0.2477 0.7436
6 Dy 0.4192 0.0862 0.2566
7 Dy 0.5808 0.9138 0.7434
8 Dy 0.7523 0.7523 0.2564
9 Dy 0.9138 0.5808 0.7434
10 Ho 0.1666 0.8334 0.5000
11 Ho 0.8334 0.1666 0.5000
12 Tm 0.5000 0.5000 0.5000

Values from the calculation:
formation energy from the elements: 24 meV/atom
N(E_F): 1.415 states/eV/atom